No. 1
## ErMg5Tl8 (PBE)

Data for crystalline ErMg5Tl8 at its relaxed geometry.

Computed properties:
Its spin magnetization is 0.0 μB/f.u. The calculation puts the energy relative to the elements at -0.010 eV per atom.

Lattice parameters (Å, degrees): 7.854 7.854 7.854 109.38 109.38 109.66
Element x y z (fractional)
1 Er 0.000 0.000 0.000
2 Mg 0.223 0.635 0.161
3 Mg 0.365 0.525 0.588
4 Mg 0.475 0.063 0.839
5 Mg 0.750 0.250 0.500
6 Mg 0.937 0.777 0.412
7 Tl 0.117 0.690 0.765
8 Tl 0.158 0.258 0.765
9 Tl 0.310 0.076 0.427
10 Tl 0.493 0.393 0.235
11 Tl 0.607 0.842 0.100
12 Tl 0.649 0.883 0.573
13 Tl 0.742 0.507 0.900
14 Tl 0.924 0.351 0.235

---

No. 2
## AcNd2ThBi4 (PBE)

Data for crystalline AcNd2ThBi4 at its relaxed geometry.

Computed properties:
Its spin magnetization is 0.0 μB/f.u. The calculation puts the energy relative to the elements at -0.856 eV per atom.

Lattice parameters (Å, degrees): 8.090 8.090 8.090 131.75 131.75 70.63
Element x y z (fractional)
1 Ac 0.000 0.000 0.000
2 Nd 0.500 0.500 0.000
3 Nd 0.750 0.250 0.500
4 Th 0.250 0.750 0.500
5 Bi 0.002 0.502 0.500
6 Bi 0.255 0.255 0.000
7 Bi 0.498 0.998 0.500
8 Bi 0.745 0.745 0.000

---

No. 3
## PmZrRuPt (PBE)

Data for crystalline PmZrRuPt at its relaxed geometry.

Computed properties:
Its spin magnetization is 0.0 μB/f.u. The calculation puts the energy relative to the elements at -0.591 eV per atom.

Lattice parameters (Å, degrees): 4.841 4.841 4.841 60.00 60.00 60.00
Element x y z (fractional)
1 Pm 0.000 0.000 0.000
2 Zr 0.500 0.500 0.500
3 Ru 0.250 0.250 0.250
4 Pt 0.750 0.750 0.750

---

No. 4
## Tb3SmEr3 (PBE)

Data for crystalline Tb3SmEr3 at its relaxed geometry.

Computed properties:
Its spin magnetization is 0.0 μB/f.u. The calculation puts the energy above the lowest structure with this stoichiometry at 0 meV per atom. The calculation puts the energy relative to the elements at 0.010 eV per atom.

Lattice parameters (Å, degrees): 9.552 9.552 5.654 90.00 90.00 120.00
Element x y z (fractional)
1 Tb 0.049 0.810 0.250
2 Tb 0.190 0.239 0.250
3 Tb 0.239 0.049 0.750
4 Tb 0.761 0.951 0.250
5 Tb 0.810 0.761 0.750
6 Tb 0.951 0.190 0.750
7 Sm 0.333 0.667 0.250
8 Sm 0.667 0.333 0.750
9 Er 0.095 0.619 0.750
10 Er 0.381 0.477 0.750
11 Er 0.477 0.095 0.250
12 Er 0.523 0.905 0.750
13 Er 0.619 0.523 0.250
14 Er 0.905 0.381 0.250

---

No. 5
## MoPICl2 (PBE)

Data for crystalline MoPICl2 at its relaxed geometry.

Computed properties:
Its uncorrected formation energy is 0.0669 eV/atom. Its spin magnetization is 0.0 μB/f.u. The calculation puts the energy above the lowest structure with this stoichiometry at 0 meV per atom.

Lattice parameters (Å, degrees): 4.741 4.741 5.038 90.00 90.00 90.00
Element x y z (fractional)
1 Mo 0.000 0.000 0.000
2 P 0.000 0.000 0.500
3 I 0.500 0.500 0.500
4 Cl 0.000 0.500 0.000
5 Cl 0.500 0.000 0.000

---

No. 6
## HgPtAu14 (PBE)

Data for crystalline HgPtAu14 at its relaxed geometry.

Computed properties:
Its spin magnetization is 0.0 μB/f.u. The calculation puts the energy relative to the elements at 0.024 eV per atom.

Lattice parameters (Å, degrees): 9.650 5.828 5.828 62.30 90.00 90.00
Element x y z (fractional)
1 Hg 0.000 0.000 0.000
2 Pt 0.000 0.499 0.499
3 Au 0.000 0.502 0.996
4 Au 0.000 0.996 0.502
5 Au 0.247 0.325 0.325
6 Au 0.250 0.329 0.822
7 Au 0.250 0.822 0.329
8 Au 0.253 0.825 0.825
9 Au 0.500 0.151 0.151
10 Au 0.500 0.153 0.650
11 Au 0.500 0.650 0.153
12 Au 0.500 0.652 0.652
13 Au 0.747 0.825 0.825
14 Au 0.750 0.329 0.822
15 Au 0.750 0.822 0.329
16 Au 0.753 0.325 0.325